YBeSiIr: optimized geometry, PBE.

Structure (POSCAR):
```
YBeSiIr
1.0
0.000 3.153 3.153
3.153 0.000 3.153
3.153 3.153 0.000
Y Si Ir Be
1 1 1 1
Cartesian
0.000 0.000 0.000
3.153 3.153 3.153
1.577 1.577 1.577
4.730 4.730 4.730
```

Computed properties:
polymorph energy (0 for the lowest one) = 0.169 eV per atom
VASP energy = -6.3570 eV/atom
space group = No. 216

=====

Tm3Te5Os: optimized geometry, PBE.

Structure (POSCAR):
```
Tm3Te5Os
1.0
8.334 0.000 0.000
-4.167 7.218 0.000
0.000 0.000 4.259
Te Tm Os
5 3 1
Cartesian
-2.855 4.945 0.000
5.710 0.000 0.000
0.000 4.812 2.130
4.167 2.406 2.130
1.312 2.272 0.000
-1.070 1.853 2.130
3.097 5.364 2.130
2.140 0.000 2.130
0.000 0.000 0.000
```

Computed properties:
polymorph energy (0 for the lowest one) = 0.000 eV per atom
VASP energy = -5.1731 eV/atom
space group = No. 189

=====

Q: What is the VASP energy in the first record?
A: -6.3570 eV/atom

=====

Q: What is the polymorph energy (0 for the lowest one) in the first record?
A: 0.169 eV per atom

=====

Q: Look up the polymorph energy (0 for the lowest one) of the first one.
A: 0.169 eV per atom

=====

Q: Which of these has the highest VASP energy?
A: Tm3Te5Os